No. 1
La3Mg3HgPt2: relaxed, PBE.

Cell lengths 7.735, 7.735, 4.258 Å; angles 90.00, 90.00, 120.00 degrees
Positions (direct):
La 0.000 0.424 0.000
La 0.424 0.000 0.000
La 0.576 0.576 0.000
Mg 0.000 0.750 0.500
Mg 0.250 0.250 0.500
Mg 0.750 0.000 0.500
Hg 0.000 0.000 0.000
Pt 0.333 0.667 0.500
Pt 0.667 0.333 0.500

=====

No. 2
LaMgTlHg: relaxed, PBE.

Cell lengths 5.316, 5.316, 5.316 Å; angles 60.00, 60.00, 60.00 degrees
Positions (direct):
La 0.000 0.000 0.000
Mg 0.250 0.250 0.250
Tl 0.500 0.500 0.500
Hg 0.750 0.750 0.750

=====

No. 3
LaMgTlHg: relaxed, PBE.

Cell lengths 5.315, 5.315, 5.315 Å; angles 60.00, 60.00, 60.00 degrees
Positions (direct):
La 0.000 0.000 0.000
Mg 0.500 0.500 0.500
Tl 0.750 0.750 0.750
Hg 0.250 0.250 0.250

=====

No. 4
LaMgTlHg: relaxed, PBE.

Cell lengths 5.308, 5.308, 5.308 Å; angles 60.00, 60.00, 60.00 degrees
Positions (direct):
La 0.000 0.000 0.000
Mg 0.750 0.750 0.750
Tl 0.250 0.250 0.250
Hg 0.500 0.500 0.500

=====

Number 1: electronic total energy -38.54 eV per formula unit. Number 2: electronic total energy -10.11 eV per formula unit. Number 3: electronic total energy -10.77 eV per formula unit. Number 4: electronic total energy -9.95 eV per formula unit.